[1]
First-principles (PBEsol) data for an optimized crystal structure of BaTaAs2, as listed in Alexandria.

Computed properties:
D(E_F) in states/eV/f.u.: 2.48
Calculated formation energy in meV per atom: -637
Polymorph energy (0 for the lowest one) in meV/atom: 0.0

```
data_BaTaAs2
_cell_length_a 3.8739
_cell_length_b 3.8739
_cell_length_c 22.0623
_cell_angle_alpha 90.00
_cell_angle_beta 90.00
_cell_angle_gamma 120.00
_symmetry_space_group_name_H-M 'R -3 m'
_symmetry_Int_Tables_number 166
_symmetry_space_group_name_Hall '-R 3 2"'
loop_
_atom_site_label
_atom_site_type_symbol
_atom_site_fract_x
_atom_site_fract_y
_atom_site_fract_z
Ba1 Ba 0.0000 0.0000 0.0000
Ta1 Ta 0.0000 0.0000 0.5000
As1 As 0.0000 0.0000 0.2314
```

[2]
First-principles (PBEsol) data for an optimized crystal structure of SOF2, as listed in Alexandria.

Computed properties:
D(E_F) in states/eV/f.u.: 1.75
E_form (uncorrected) in kJ per mole of atoms: -5.4
Polymorph energy (0 for the lowest one) in meV/atom: 1530.3

```
data_SOF2
_cell_length_a 2.6809
_cell_length_b 2.6809
_cell_length_c 25.0356
_cell_angle_alpha 90.00
_cell_angle_beta 90.00
_cell_angle_gamma 120.00
_symmetry_space_group_name_H-M 'R -3 m'
_symmetry_Int_Tables_number 166
_symmetry_space_group_name_Hall '-R 3 2"'
loop_
_atom_site_label
_atom_site_type_symbol
_atom_site_fract_x
_atom_site_fract_y
_atom_site_fract_z
S1 S 0.0000 0.0000 0.0000
O1 O 0.0000 0.0000 0.5000
F1 F 0.0000 0.0000 0.0671
```

[3]
First-principles (PBEsol) data for an optimized crystal structure of SnHgP3, as listed in Alexandria.

Computed properties:
D(E_F) in states/eV/f.u.: 5.24
Calculated formation energy in meV per atom: 1142

```
data_SnHgP3
_cell_length_a 4.9271
_cell_length_b 4.9271
_cell_length_c 4.9271
_cell_angle_alpha 90.00
_cell_angle_beta 90.00
_cell_angle_gamma 90.00
_symmetry_space_group_name_H-M 'P m -3 m'
_symmetry_Int_Tables_number 221
_symmetry_space_group_name_Hall '-P 4 2 3'
loop_
_atom_site_label
_atom_site_type_symbol
_atom_site_fract_x
_atom_site_fract_y
_atom_site_fract_z
Sn1 Sn 0.0000 0.0000 0.0000
Hg1 Hg 0.5000 0.5000 0.5000
P1 P 0.0000 0.5000 0.5000
```